Entry 1:
Entry from Alexandria: a relaxed Th2Ga3Cu4Ag crystal (PBE).

Results
**Final energy**: -0.17036 hartree per atom
**Total magnetization**: 0.0 μB per cell
**ΔH_f (0 K)**: -0.320 eV per atom

abc: 4.305 4.305 9.928
angles: 90.00 90.00 90.00
Space group P-4m2 (No. 115)
Asymmetric unit:
1 Th 0.000 0.500 0.239
2 Ga 0.000 0.500 0.876
3 Ga 0.500 0.500 0.500
4 Cu 0.000 0.000 0.000
5 Cu 0.000 0.500 0.637
6 Cu 0.500 0.500 0.000
7 Ag 0.000 0.000 0.500

***

Entry 2:
Entry from Alexandria: a relaxed Sr2ReAs crystal (PBE).

Results
**Final energy**: -0.16504 hartree per atom
**Total magnetization**: 8.3 μB per cell
**ΔH_f (0 K)**: 0.624 eV per atom

abc: 7.240 7.240 7.240
angles: 90.00 90.00 90.00
Space group F-43m (No. 216)
Asymmetric unit:
1 Sr 0.000 0.000 0.000
2 Sr 0.250 0.250 0.250
3 Re 0.250 0.250 0.750
4 As 0.000 0.000 0.500

***

Entry 3:
Entry from Alexandria: a relaxed Nd12HoAl6 crystal (PBE).

Results
**Final energy**: -0.16772 hartree per atom
**Total magnetization**: 0.0 μB per cell
**ΔH_f (0 K)**: -0.130 eV per atom

abc: 11.3614 11.3614 14.5881
angles: 90.00 90.00 120.00
Space group R-3 (No. 148, hexagonal axes)
Asymmetric unit:
1 Nd 0.0389 0.1924 0.3058
2 Nd 0.0633 0.8408 0.9115
3 Ho 0.0000 0.0000 0.5000
4 Al 0.0359 0.4432 0.2050

***

Number 1 is which compound?
Th2Ga3Cu4Ag